Material: MoRhOF2
Method: DFT, PBE with a Hubbard U
State: optimized geometry

Cell lengths 4.4079, 4.4079, 3.7797 Å; angles 90.00, 90.00, 90.00 degrees
Closest atoms and distances in Å follow each position.
Fractional positions:
F: 0.5000 0.0000 0.0000  2 Rh 2.20
F: 0.0000 0.5000 0.0000  2 Rh 2.20
Mo: 0.5000 0.5000 0.5000  8 F 2.90, 4 O 3.12
Rh: 0.0000 0.0000 0.0000  2 O 1.89
O: 0.0000 0.0000 0.5000  2 Rh 1.89

Output
DOS at the Fermi energy: 3.696 states/eV/f.u.
Calculated total energy: -5.187 eV/atom
Space-group type: P4/mmm, No. 123